(1)
VASP calculation (PBE) on an optimized crystal structure of CsTlZnAu.

Cell: 4.6740 4.6740 7.5706 Å, 90.03 107.97 119.97°
Closest atoms and distances in Å follow each position.
Positions (direct):
Cs (0.4016, 0.0658, 0.4674)  4 Zn 3.86-4.31, 3 Au 3.91, 4 Tl 4.00-4.12
Tl (0.0133, 0.8711, 0.8845)  3 Au 2.99, 3 Zn 3.02
Zn (0.8083, 0.2685, 0.0768)  3 Au 2.70, 3 Tl 3.02
Au (0.4689, 0.5990, 0.0679)  3 Zn 2.70, 3 Tl 2.99

Properties
The density of states at the Fermi level is 0.367 states/eV per atom. The density comes out at 7.44 g/cm3. As for the symmetry: R3m (160). The electronic total energy is -0.15383 Ry per atom.



(2)
VASP calculation (PBE) on an optimized crystal structure of KPPb4.

Cell: 6.4969 6.4969 6.4969 Å, 60.00 60.00 60.00°
Closest atoms and distances in Å follow each position.
Positions (direct):
K (0.7500, 0.7500, 0.7500)  12 Pb 3.81, 4 P 3.98
P (0.0000, 0.0000, 0.0000)  12 Pb 3.81, 4 K 3.98
Pb (0.8761, 0.3746, 0.3746)  6 Pb 3.24-3.26
Pb (0.3746, 0.3746, 0.8761)  6 Pb 3.24-3.26
Pb (0.3746, 0.8761, 0.3746)  6 Pb 3.24-3.26
Pb (0.3746, 0.3746, 0.3746)  6 Pb 3.24-3.26

Properties
The density of states at the Fermi level is 0.552 states/eV per atom. The density comes out at 7.70 g/cm3. As for the symmetry: F-43m (216). The electronic total energy is -0.23872 Ry per atom.



(3)
VASP calculation (PBE) on an optimized crystal structure of DyRuPb.

Cell: 3.4831 4.7327 4.7327 Å, 120.00 90.00 90.00°
Closest atoms and distances in Å follow each position.
Positions (direct):
Pb (0.1665, 0.0000, 0.0000)  3 Ru 2.73
Ru (0.1666, 0.3333, 0.6667)  3 Pb 2.73
Dy (0.6669, 0.6667, 0.3333)  6 Pb 3.24, 6 Ru 3.24, 2 Dy 3.48

Properties
The density of states at the Fermi level is 0.705 states/eV per atom. The density comes out at 11.57 g/cm3. As for the symmetry: P-6m2 (187). The electronic total energy is -0.43971 Ry per atom.



(4)
VASP calculation (PBE) on an optimized crystal structure of Zr2TaSbC.

Cell: 5.2905 4.9900 5.2905 Å, 90.00 90.00 90.00°
Closest atoms and distances in Å follow each position.
Positions (direct):
Sb (0.0000, 0.0000, 0.0000)  2 Ta 2.50, 4 Zr 2.65
C (0.5000, 0.5000, 0.5000)  8 Zr 3.64, 4 Ta 3.74
Zr (0.0000, 0.0000, 0.5000)  2 Sb 2.65
Zr (0.5000, 0.0000, 0.0000)  2 Sb 2.65
Ta (0.0000, 0.5000, 0.0000)  2 Sb 2.50

Properties
The uncorrected formation energy comes out at 2432.9 meV/atom. The density of states at the Fermi level is 1.378 states/eV per atom. The density comes out at 5.91 g/cm3. As for the symmetry: P4/mmm (123).



(5)
VASP calculation (PBE) on an optimized crystal structure of Cs2Al2Pb.

Cell: 7.5923 7.5923 6.5220 Å, 90.00 90.00 90.00°
Closest atoms and distances in Å follow each position.
Positions (direct):
Pb (0.0000, 0.0000, 0.0000)  4 Al 3.01
Pb (0.5000, 0.5000, 0.0000)  4 Al 3.01
Cs (0.1860, 0.6860, 0.5000)  6 Al 3.85-4.05, 5 Cs 3.92-3.99, 4 Pb 4.28
Cs (0.6860, 0.8140, 0.5000)  6 Al 3.85-4.05, 5 Cs 3.92-3.99, 4 Pb 4.28
Cs (0.8140, 0.3140, 0.5000)  6 Al 3.85-4.05, 5 Cs 3.92-3.99, 4 Pb 4.28
Cs (0.3140, 0.1860, 0.5000)  6 Al 3.85-4.05, 5 Cs 3.92-3.99, 4 Pb 4.28
Al (0.3771, 0.8771, 0.0000)  1 Al 2.64
Al (0.8771, 0.6229, 0.0000)  1 Al 2.64
Al (0.6229, 0.1229, 0.0000)  1 Al 2.64
Al (0.1229, 0.3771, 0.0000)  1 Al 2.64

Properties
The density of states at the Fermi level is 0.613 states/eV per atom. The density comes out at 4.66 g/cm3. As for the symmetry: P4/mbm (127). The electronic total energy is -0.17421 Ry per atom.



(6)
VASP calculation (PBE) on an optimized crystal structure of Sc2TiAs2.

Cell: 7.0111 7.0111 3.7763 Å, 90.00 90.00 90.00°
Closest atoms and distances in Å follow each position.
Positions (direct):
Sc (0.1591, 0.6591, 0.5000)  6 As 2.68-2.87
Sc (0.6591, 0.8409, 0.5000)  6 As 2.68-2.87
Sc (0.8409, 0.3409, 0.5000)  6 As 2.68-2.87
Sc (0.3409, 0.1591, 0.5000)  6 As 2.68-2.87
As (0.3510, 0.8510, 0.0000)  2 Ti 2.67, 6 Sc 2.68-2.87, 1 As 2.95
As (0.8510, 0.6490, 0.0000)  2 Ti 2.67, 6 Sc 2.68-2.87, 1 As 2.95
As (0.6490, 0.1490, 0.0000)  2 Ti 2.67, 6 Sc 2.68-2.87, 1 As 2.95
As (0.1490, 0.3510, 0.0000)  2 Ti 2.67, 6 Sc 2.68-2.87, 1 As 2.95
Ti (0.0000, 0.0000, 0.0000)  4 As 2.67
Ti (0.5000, 0.5000, 0.0000)  4 As 2.67

Properties
The density of states at the Fermi level is 0.986 states/eV per atom. The calculation puts the energy above the lowest structure with this stoichiometry at 0 meV per atom. The density comes out at 5.15 g/cm3. As for the symmetry: P4/mbm (127).



(7)
VASP calculation (PBE) on an optimized crystal structure of ScCuSb2.

Cell: 5.8845 5.8845 5.8845 Å, 140.34 138.49 58.75°
Closest atoms and distances in Å follow each position.
Positions (direct):
Cu (0.2287, 0.7287, 0.5000)  6 Sb 2.90-2.99, 2 Sc 3.13
Sb (0.0116, 0.0116, 0.0000)  4 Sc 2.89, 2 Cu 2.99
Sb (0.7592, 0.2592, 0.5000)  4 Cu 2.90, 2 Sc 3.24
Sc (0.5005, 0.5005, 0.0000)  4 Sb 2.89, 2 Cu 3.13

Properties
The uncorrected formation energy comes out at -277.9 meV/atom. The density of states at the Fermi level is 0.636 states/eV per atom. The density comes out at 6.85 g/cm3. As for the symmetry: Imm2 (44).



(8)
VASP calculation (PBE) on an optimized crystal structure of K3RbOs2O8.

Cell: 6.3993 6.3993 8.2970 Å, 90.00 90.00 120.00°
Closest atoms and distances in Å follow each position.
Positions (direct):
K (0.3333, 0.6667, 0.6718)  1 O 2.52
K (0.6667, 0.3333, 0.3282)  1 O 2.52
K (0.0000, 0.0000, 0.0000)  6 O 3.06
Rb (0.0000, 0.0000, 0.5000)  6 O 2.74
Os (0.3333, 0.6667, 0.1908)  4 O 1.79-1.82
Os (0.6667, 0.3333, 0.8092)  4 O 1.79-1.82
O (0.3333, 0.6667, 0.9752)  1 Os 1.79
O (0.6667, 0.3333, 0.0248)  1 Os 1.79
O (0.1820, 0.8180, 0.2767)  1 Os 1.82
O (0.8180, 0.1820, 0.7233)  1 Os 1.82
O (0.1820, 0.3641, 0.2767)  1 Os 1.82
O (0.8180, 0.6359, 0.7233)  1 Os 1.82
O (0.6359, 0.8180, 0.2767)  1 Os 1.82
O (0.3641, 0.1820, 0.7233)  1 Os 1.82

Properties
The uncorrected formation energy comes out at -1325.1 meV/atom. The density comes out at 4.01 g/cm3. As for the symmetry: P-3m1 (164).



(9)
VASP calculation (PBE) on an optimized crystal structure of DyPuZnCo.

Cell: 4.8818 4.8818 4.8818 Å, 60.00 60.00 60.00°
Closest atoms and distances in Å follow each position.
Positions (direct):
Zn (0.0000, 0.0000, 0.0000)  4 Pu 2.99, 4 Dy 2.99
Dy (0.2500, 0.2500, 0.2500)  4 Zn 2.99, 4 Co 2.99
Co (0.5000, 0.5000, 0.5000)  4 Dy 2.99, 4 Pu 2.99
Pu (0.7500, 0.7500, 0.7500)  4 Co 2.99, 4 Zn 2.99

Properties
The density of states at the Fermi level is 1.850 states/eV per atom. The density comes out at 10.71 g/cm3. As for the symmetry: F-43m (216). The electronic total energy is -0.50652 Ry per atom.



(10)
VASP calculation (PBE) on an optimized crystal structure of Hf2ZrPa.

Cell: 4.4685 5.6248 4.4725 Å, 66.53 90.00 113.40°
Closest atoms and distances in Å follow each position.
Positions (direct):
Hf (0.4764, 0.6832, 0.2700)  4 Hf 3.16, 4 Zr 3.22-3.23, 4 Pa 3.22-3.23
Hf (0.9763, 0.6830, 0.7701)  4 Hf 3.16, 4 Zr 3.22-3.23, 4 Pa 3.22-3.23
Zr (0.7264, 0.1831, 0.5200)  4 Pa 3.16, 8 Hf 3.22-3.23
Pa (0.2264, 0.1831, 0.0200)  4 Zr 3.16, 8 Hf 3.22-3.23

Properties
The density of states at the Fermi level is 1.369 states/eV per atom. The calculation puts the energy above the lowest structure with this stoichiometry at 43 meV per atom. The density comes out at 12.14 g/cm3. As for the symmetry: I4/mmm (139).



(11)
VASP calculation (PBE) on an optimized crystal structure of SrTl3Cd.

Cell: 6.1781 7.7289 7.7289 Å, 120.00 90.00 90.00°
Closest atoms and distances in Å follow each position.
Positions (direct):
Sr (0.2500, 0.3334, 0.6666)  12 Tl 3.62-3.88
Sr (0.7500, 0.6666, 0.3334)  12 Tl 3.62-3.88
Tl (0.2500, 0.8072, 0.1928)  2 Cd 3.01, 2 Tl 3.26
Tl (0.7500, 0.1928, 0.8072)  2 Cd 3.01, 2 Tl 3.26
Tl (0.2500, 0.8073, 0.6145)  2 Cd 3.01, 2 Tl 3.26
Tl (0.7500, 0.1927, 0.3856)  2 Cd 3.01, 2 Tl 3.26
Tl (0.2500, 0.3856, 0.1927)  2 Cd 3.01, 2 Tl 3.26
Tl (0.7500, 0.6145, 0.8073)  2 Cd 3.01, 2 Tl 3.26
Cd (0.0000, 0.0000, 0.0000)  6 Tl 3.01, 2 Cd 3.09
Cd (0.5000, 0.0000, 0.0000)  6 Tl 3.01, 2 Cd 3.09

Properties
The density of states at the Fermi level is 0.520 states/eV per atom. The calculation puts the energy above the lowest structure with this stoichiometry at 51 meV per atom. The density comes out at 8.45 g/cm3. As for the symmetry: P6_3/mmc (194).